--- one ---
## LiTaMo2 (GGA-PBE)

Data for an optimized crystal structure of LiTaMo2.

space group: No. 123

Cell lengths 2.657, 2.657, 9.363 Å; angles 90.00, 90.00, 90.00 degrees
Atoms (fractional coordinates):
Li: 0.000 0.000 0.000
Ta: 0.000 0.000 0.500
Mo: 0.500 0.500 0.248
Mo: 0.500 0.500 0.752

=====

--- two ---
## LiTaMo2 (GGA-PBE)

Data for an optimized crystal structure of LiTaMo2.

space group: No. 65

Cell lengths 5.281, 5.281, 2.614 Å; angles 90.00, 90.00, 117.58 degrees
Atoms (fractional coordinates):
Li: 0.000 0.000 0.000
Ta: 0.500 0.500 0.000
Mo: 0.000 0.500 0.500
Mo: 0.500 0.000 0.500

=====

--- three ---
## LiTaMo2 (GGA-PBE)

Data for an optimized crystal structure of LiTaMo2.

space group: No. 10

Cell lengths 2.668, 4.592, 5.306 Å; angles 90.00, 99.47, 90.00 degrees
Atoms (fractional coordinates):
Li: 0.000 0.000 0.000
Ta: 0.500 0.000 0.500
Mo: 0.215 0.500 0.744
Mo: 0.785 0.500 0.256

=====

Most stable structure, least stable structure: three, two.

=====

--- one ---
## LiTa2Mo (GGA-PBE)

Data for an optimized crystal structure of LiTa2Mo.

space group: No. 166

Cell lengths 10.385, 10.385, 10.385 Å; angles 15.63, 15.63, 15.63 degrees
Atoms (fractional coordinates):
Li: 0.000 0.000 0.000
Ta: 0.248 0.248 0.248
Ta: 0.752 0.752 0.752
Mo: 0.500 0.500 0.500

=====

--- two ---
## LiTa2Mo (GGA-PBE)

Data for an optimized crystal structure of LiTa2Mo.

space group: No. 8

Cell lengths 4.990, 4.990, 5.374 Å; angles 94.29, 94.29, 30.52 degrees
Atoms (fractional coordinates):
Li: 0.000 0.000 0.000
Ta: 0.250 0.250 0.760
Ta: 0.497 0.497 0.493
Mo: 0.746 0.746 0.253

=====

--- three ---
## LiTa2Mo (GGA-PBE)

Data for an optimized crystal structure of LiTa2Mo.

space group: No. 225

Cell lengths 4.531, 4.531, 4.531 Å; angles 60.00, 60.00, 60.00 degrees
Atoms (fractional coordinates):
Li: 0.000 0.000 0.000
Ta: 0.250 0.250 0.250
Ta: 0.750 0.750 0.750
Mo: 0.500 0.500 0.500

=====

Most stable structure, least stable structure: three, one.

=====

--- one ---
## LiTa2Mo (GGA-PBE)

Data for an optimized crystal structure of LiTa2Mo.

space group: No. 6

Cell lengths 2.714, 4.642, 5.385 Å; angles 90.00, 99.21, 90.00 degrees
Atoms (fractional coordinates):
Li: 0.000 0.000 0.000
Ta: 0.246 0.500 0.749
Ta: 0.553 0.000 0.489
Mo: 0.797 0.500 0.258

=====

--- two ---
## LiTa2Mo (GGA-PBE)

Data for an optimized crystal structure of LiTa2Mo.

space group: No. 12

Cell lengths 5.386, 5.386, 2.695 Å; angles 99.95, 99.95, 115.41 degrees
Atoms (fractional coordinates):
Li: 0.000 0.000 0.000
Ta: 0.000 0.500 0.500
Ta: 0.500 0.000 0.500
Mo: 0.500 0.500 0.000

=====

Most stable structure, least stable structure: one, two.

=====

--- one ---
## LiTa3Mo (GGA-PBE)

Data for an optimized crystal structure of LiTa3Mo.

space group: No. 221

Cell lengths 4.875, 4.875, 4.875 Å; angles 90.00, 90.00, 90.00 degrees
Atoms (fractional coordinates):
Li: 0.000 0.000 0.000
Ta: 0.000 0.500 0.500
Ta: 0.500 0.000 0.500
Ta: 0.500 0.500 0.000
Mo: 0.500 0.500 0.500

=====

--- two ---
## LiTa3Mo (GGA-PBE)

Data for an optimized crystal structure of LiTa3Mo.

space group: No. 221

Cell lengths 4.396, 4.396, 4.396 Å; angles 90.00, 90.00, 90.00 degrees
Atoms (fractional coordinates):
Li: 0.000 0.000 0.000
Ta: 0.000 0.000 0.500
Ta: 0.000 0.500 0.000
Ta: 0.500 0.000 0.000
Mo: 0.500 0.500 0.500

=====

Most stable structure, least stable structure: two, one.

=====

--- one ---
## LiTc2Mo (GGA-PBE)

Data for an optimized crystal structure of LiTc2Mo.

space group: No. 65

Cell lengths 2.657, 2.657, 9.041 Å; angles 90.00, 90.00, 109.95 degrees
Atoms (fractional coordinates):
Li: 0.000 0.000 0.000
Tc: 0.500 0.500 0.255
Tc: 0.500 0.500 0.745
Mo: 0.000 0.000 0.500

=====

--- two ---
## LiTc2Mo (GGA-PBE)

Data for an optimized crystal structure of LiTc2Mo.

space group: No. 99

Cell lengths 3.176, 3.176, 5.554 Å; angles 90.00, 90.00, 90.00 degrees
Atoms (fractional coordinates):
Li: 0.000 0.000 0.000
Tc: 0.000 0.000 0.504
Tc: 0.500 0.500 0.783
Mo: 0.500 0.500 0.240

=====

--- three ---
## LiTc2Mo (GGA-PBE)

Data for an optimized crystal structure of LiTc2Mo.

space group: No. 35

Cell lengths 2.646, 2.646, 9.278 Å; angles 90.00, 90.00, 111.12 degrees
Atoms (fractional coordinates):
Li: 0.000 0.000 0.000
Tc: 0.000 0.000 0.490
Tc: 0.500 0.500 0.252
Mo: 0.500 0.500 0.734

=====

Most stable structure, least stable structure: one, two.

=====

--- one ---
## LiTc2Mo (GGA-PBE)

Data for an optimized crystal structure of LiTc2Mo.

space group: No. 166

Cell lengths 9.281, 9.281, 9.281 Å; angles 17.16, 17.16, 17.16 degrees
Atoms (fractional coordinates):
Li: 0.000 0.000 0.000
Tc: 0.247 0.247 0.247
Tc: 0.753 0.753 0.753
Mo: 0.500 0.500 0.500

=====

--- two ---
## LiTc2Mo (GGA-PBE)

Data for an optimized crystal structure of LiTc2Mo.

space group: No. 12

Cell lengths 5.126, 5.126, 2.618 Å; angles 100.95, 100.95, 116.10 degrees
Atoms (fractional coordinates):
Li: 0.000 0.000 0.000
Tc: 0.000 0.500 0.500
Tc: 0.500 0.000 0.500
Mo: 0.500 0.500 0.000

=====

--- three ---
## LiTc2Mo (GGA-PBE)

Data for an optimized crystal structure of LiTc2Mo.

space group: No. 10

Cell lengths 2.618, 4.300, 5.169 Å; angles 90.00, 97.71, 90.00 degrees
Atoms (fractional coordinates):
Li: 0.000 0.000 0.000
Tc: 0.277 0.500 0.761
Tc: 0.723 0.500 0.239
Mo: 0.500 0.000 0.500

=====

Most stable structure, least stable structure: three, one.